(1)
DFT (PBE-GGA) results for a relaxed Ho12TmSc3 crystal.

Unit cell a=4.914 b=4.914 c=19.618 alpha=90.00 beta=90.00 gamma=90.00
Fractional positions:
Ho 0.500 0.500 0.000
Ho 0.500 0.500 0.252
Ho 0.500 0.500 0.500
Ho 0.500 0.500 0.748
Ho 0.500 0.000 0.128
Ho 0.500 0.000 0.376
Ho 0.500 0.000 0.624
Ho 0.500 0.000 0.872
Ho 0.000 0.500 0.128
Ho 0.000 0.500 0.376
Ho 0.000 0.500 0.624
Ho 0.000 0.500 0.872
Tm 0.000 0.000 0.000
Sc 0.000 0.000 0.252
Sc 0.000 0.000 0.500
Sc 0.000 0.000 0.748

Calculated density = 8.0 g/cm³
Energy of formation from the pure elements = 0.0367 eV per atom
Space group = P4/mmm

---

(2)
DFT (PBE-GGA) results for a relaxed CsTeP2Se8 crystal.

Unit cell a=6.366 b=6.366 c=11.641 alpha=74.13 beta=74.13 gamma=60.00
Fractional positions:
Cs 0.500 0.500 0.500
Te 0.000 0.000 0.000
P 0.262 0.262 0.214
P 0.738 0.738 0.786
Se 0.197 0.197 0.410
Se 0.603 0.319 0.157
Se 0.803 0.803 0.590
Se 0.922 0.603 0.157
Se 0.078 0.397 0.843
Se 0.319 0.922 0.157
Se 0.681 0.078 0.843
Se 0.397 0.681 0.843

Formation energy from raw total energies = -0.142 eV per atom
Calculated density = 4.1 g/cm³
Space group = R-3

---

(3)
DFT (PBE-GGA) results for a relaxed MnBeAs2 crystal.

Unit cell a=3.662 b=4.741 c=3.461 alpha=90.00 beta=90.00 gamma=90.00
Each line ends with the local moment (μB).
Fractional positions:
Be 0.500 0.000 0.500  -0.04
As 0.000 0.000 0.000  -0.04
As 0.500 0.500 0.000  -0.02
Mn 0.000 0.500 0.500  3.24

Calculated density = 5.9 g/cm³
Relative energy among the computed polymorphs = 324 meV per atom
Energy of formation from the pure elements = 0.2903 eV per atom
Space group = Pmmm

---

(4)
DFT (PBE-GGA) results for a relaxed KSr2Ca2 crystal.

Unit cell a=11.548 b=11.548 c=4.157 alpha=90.00 beta=90.00 gamma=90.00
Fractional positions:
Sr 0.378 0.878 0.000
Sr 0.878 0.622 0.000
Sr 0.622 0.122 0.000
Sr 0.122 0.378 0.000
Ca 0.170 0.670 0.500
Ca 0.670 0.830 0.500
Ca 0.830 0.330 0.500
Ca 0.330 0.170 0.500
K 0.000 0.000 0.000
K 0.500 0.500 0.000

Calculated density = 1.8 g/cm³
Relative energy among the computed polymorphs = 15 meV per atom
Energy of formation from the pure elements = 0.1488 eV per atom
Space group = P4/mbm

---

(5)
DFT (PBE-GGA) results for a relaxed BC3 crystal.

Unit cell a=5.903 b=5.903 c=5.212 alpha=101.32 beta=101.32 gamma=24.68
Fractional positions:
B 0.003 0.003 0.975
B 0.924 0.924 0.245
B 0.321 0.321 0.148
C 0.246 0.246 0.382
C 0.008 0.008 0.515
C 0.910 0.910 0.701
C 0.666 0.666 0.337
C 0.585 0.585 0.553
C 0.330 0.330 0.657
C 0.247 0.247 0.861
C 0.668 0.668 0.827
C 0.591 0.591 0.049

Calculated density = 3.1 g/cm³
Relative energy among the computed polymorphs = 93 meV per atom
Energy of formation from the pure elements = 0.3340 eV per atom
Space group = Cm

---

(6)
DFT (PBE-GGA) results for a relaxed LiVPbCl6 crystal.

Unit cell a=6.471 b=6.471 c=6.178 alpha=90.00 beta=90.00 gamma=60.00
Each line ends with the local moment (μB).
Fractional positions:
Li 0.667 0.667 0.500  0.00
V 0.333 0.333 0.500  1.87
Pb 0.000 0.000 0.000  0.01
Cl 0.019 0.357 0.278  -0.02
Cl 0.357 0.019 0.722  -0.02
Cl 0.624 0.357 0.722  -0.02
Cl 0.019 0.624 0.722  -0.02
Cl 0.357 0.624 0.278  -0.02
Cl 0.624 0.019 0.278  -0.02

Formation energy from raw total energies = -1.307 eV per atom
Calculated density = 3.5 g/cm³
Space group = P312

---

(7)
DFT (PBE-GGA) results for a relaxed Na2LiCr crystal.

Unit cell a=5.305 b=5.305 c=5.305 alpha=60.00 beta=60.00 gamma=60.00
Each line ends with the local moment (μB).
Fractional positions:
Cr 0.500 0.500 0.500  4.17
Li 0.000 0.000 0.000  -0.02
Na 0.250 0.250 0.250  0.00
Na 0.750 0.750 0.750  0.00

Calculated density = 1.7 g/cm³
Relative energy among the computed polymorphs = 0 meV per atom
Energy of formation from the pure elements = 0.5625 eV per atom
Space group = Fm-3m

---

(8)
DFT (PBE-GGA) results for a relaxed CaNd2Ga3Pd4 crystal.

Unit cell a=4.233 b=4.233 c=11.658 alpha=90.00 beta=90.00 gamma=90.00
Fractional positions:
Ca 0.500 0.500 0.500
Nd 0.500 0.000 0.225
Nd 0.000 0.500 0.775
Ga 0.000 0.000 0.500
Ga 0.500 0.000 0.878
Ga 0.000 0.500 0.122
Pd 0.500 0.500 0.000
Pd 0.000 0.000 0.000
Pd 0.500 0.000 0.660
Pd 0.000 0.500 0.340

Calculated density = 7.7 g/cm³
Energy of formation from the pure elements = -0.7345 eV per atom
Space group = P-4m2

---

- Which value of calculated density does entry 8 give?
  7.7 g/cm³

---

- calculated density of number 5 (BC3)?
  3.1 g/cm³

---

- calculated density of number 5 (BC3)?
  3.1 g/cm³